Entry 1:
## SrNbW (PBE)

Data for a relaxed structure of SrNbW.

Structure (POSCAR):
```
SrNbW
1.0
0.000 3.332 3.332
3.332 0.000 3.332
3.332 3.332 0.000
Sr Nb W
1 1 1
Cartesian
0.000 0.000 0.000
3.332 3.332 3.332
4.997 4.997 4.997
```

SG ... F-43m (216)
Energy relative to the lowest polymorph listed for this composition ... 0.0 kJ/mol of atoms


Entry 2:
## SrNbW (PBE)

Data for a relaxed structure of SrNbW.

Structure (POSCAR):
```
SrNbW
1.0
0.000 3.320 3.320
3.320 0.000 3.320
3.320 3.320 0.000
Sr Nb W
1 1 1
Cartesian
0.000 0.000 0.000
4.979 4.979 4.979
1.660 1.660 1.660
```

SG ... F-43m (216)
Energy relative to the lowest polymorph listed for this composition ... 121.4 kJ/mol of atoms


Entry 3:
## SrYNb (PBE)

Data for a relaxed structure of SrYNb.

Structure (POSCAR):
```
SrYNb
1.0
0.000 3.803 3.803
3.803 0.000 3.803
3.803 3.803 0.000
Sr Y Nb
1 1 1
Cartesian
0.000 0.000 0.000
3.803 3.803 3.803
1.901 1.901 1.901
```

SG ... F-43m (216)
Energy relative to the lowest polymorph listed for this composition ... 0.0 kJ/mol of atoms


Entry 4:
## SrNb2Zn (PBE)

Data for a relaxed structure of SrNb2Zn.

Structure (POSCAR):
```
SrNb2Zn
1.0
0.000 3.465 3.465
3.465 0.000 3.465
3.465 3.465 0.000
Sr Nb Zn
1 2 1
Cartesian
0.000 0.000 0.000
3.465 3.465 3.465
5.198 5.198 5.198
1.733 1.733 1.733
```

SG ... F-43m (216)


no.,total magnetic moment (Bohr magnetons per cell),energy (eV per atom)
1,0.0,-6.774
2,0.1,-5.516
3,4.0,-4.955
4,0.0,-5.161